Entry 1:
Density functional theory data (PBE-GGA) for an optimized crystal structure of NiHAu3.

abc: 4.8184 4.8184 4.8184
angles: 90.00 90.00 90.00
Atoms (fractional coordinates):
Au: 0.5000 0.0000 0.0000
Au: 0.0000 0.5000 0.0000
Au: 0.0000 0.0000 0.5000
Ni: 0.0000 0.0000 0.0000
H: 0.5000 0.5000 0.5000

Calculated values
Crystal system: cubic
Total energy, eV per atom: -2.610
Magnetic moment, μB per formula unit: 1.368

Entry 2:
Density functional theory data (PBE-GGA) for an optimized crystal structure of Dy2In8Ni.

abc: 4.6320 4.6320 12.1123
angles: 90.00 90.00 90.00
Atoms (fractional coordinates):
Dy: 0.0000 0.0000 0.6922
Dy: 0.0000 0.0000 0.3078
Ni: 0.0000 0.0000 0.0000
In: 0.5000 0.0000 0.5000
In: 0.5000 0.0000 0.1215
In: 0.0000 0.5000 0.1215
In: 0.0000 0.5000 0.8785
In: 0.5000 0.5000 0.6927
In: 0.5000 0.5000 0.3073
In: 0.5000 0.0000 0.8785
In: 0.0000 0.5000 0.5000

Calculated values
Crystal system: tetragonal
Total energy, eV per atom: -3.683
ΔE_f, eV/atom: -0.33
Magnetic moment, μB per formula unit: 0.000

Entry 3:
Density functional theory data (PBE-GGA) for an optimized crystal structure of Tm8Os2Rh.

abc: 4.6934 6.8740 8.9502
angles: 106.78 105.20 90.00
Atoms (fractional coordinates):
Tm: 0.7942 0.6866 0.5885
Tm: 0.0306 0.7910 0.0613
Tm: 0.4018 0.5362 0.8036
Tm: 0.9694 0.2090 0.9387
Tm: 0.6691 0.9623 0.3381
Tm: 0.2058 0.3134 0.4115
Tm: 0.3309 0.0377 0.6619
Tm: 0.5982 0.4638 0.1964
Rh: 0.5000 0.0000 0.0000
Os: 0.1838 0.7001 0.3677
Os: 0.8162 0.2999 0.6323

Calculated values
Crystal system: monoclinic
Total energy, eV per atom: -6.333
ΔE_f, eV/atom: -0.37
Magnetic moment, μB per formula unit: 0.000

Entry 4:
Density functional theory data (PBE-GGA) for an optimized crystal structure of MgOs2W.

abc: 7.2928 7.2928 5.8183
angles: 51.19 51.19 90.00
Atoms (fractional coordinates):
Os: 0.8750 0.9195 0.7500
Os: 0.0805 0.6250 0.2500
Os: 0.3750 0.3305 0.7500
Os: 0.6695 0.1250 0.2500
W: 0.7500 0.2500 0.5000
W: 0.0000 0.0000 0.0000
Mg: 0.5000 0.5000 0.0000
Mg: 0.2500 0.7500 0.5000

Calculated values
Crystal system: tetragonal
Total energy, eV per atom: -8.462
ΔE_f, eV/atom: 0.79
Magnetic moment, μB per formula unit: 0.000

Entry 5:
Density functional theory data (PBE-GGA) for an optimized crystal structure of LaPm3Ni8.

abc: 5.1614 5.1614 8.9559
angles: 73.25 73.25 60.00
Atoms (fractional coordinates):
Ni: 0.9376 0.9376 0.6896
Ni: 0.4380 0.9387 0.1853
Ni: 0.9376 0.4353 0.6896
Ni: 0.6875 0.6875 0.9374
Ni: 0.9387 0.4380 0.1853
Ni: 0.4380 0.4380 0.1853
Ni: 0.1873 0.1873 0.4380
Ni: 0.4353 0.9376 0.6896
Pm: 0.3751 0.3751 0.8747
Pm: 0.4998 0.4998 0.5007
Pm: 0.0002 0.0002 0.9995
La: 0.8749 0.8749 0.3752

Calculated values
Crystal system: trigonal
Total energy, eV per atom: -5.788
ΔE_f, eV/atom: -0.34
Magnetic moment, μB per formula unit: 0.000

Entry 6:
Density functional theory data (PBE-GGA) for an optimized crystal structure of Sc4InPd3.

abc: 4.7761 4.7761 8.2644
angles: 73.20 73.20 60.00
Atoms (fractional coordinates):
Pd: 0.7436 0.7436 0.7691
Pd: 0.5000 0.5000 0.5000
Pd: 0.2564 0.2564 0.2309
Sc: 0.3820 0.3820 0.8541
Sc: 0.1301 0.1301 0.6096
Sc: 0.6180 0.6180 0.1459
Sc: 0.8699 0.8699 0.3904
In: 0.0000 0.0000 0.0000

Calculated values
Crystal system: trigonal
Total energy, eV per atom: -6.226
ΔE_f, eV/atom: -0.77
Magnetic moment, μB per formula unit: 0.000